Entry from Alexandria: a relaxed structure of PrGdMgGe (PBE).

a = 5.256 Å, b = 5.256 Å, c = 5.256 Å
α = 60.00°, β = 60.00°, γ = 60.00°
Fractional coordinates of all 4 atoms:
Pr: 0.000 0.000 0.000
Gd: 0.500 0.500 0.500
Mg: 0.750 0.750 0.750
Ge: 0.250 0.250 0.250

Summary:
The value obtained for the calculated total energy is -6.6402 eV per atom. The calculated density comes out at 6.392 g cm⁻³. The size of the total moment is 7.34 μB per cell. The energy of formation from the pure elements comes out at -0.3721 eV per atom.